No. 1
The following is a GGA-PBE calculation of a relaxed UBe2Co4Si crystal, from Alexandria via LeMat-Bulk.

Summary:
E_form (uncorrected): -2.8 eV per formula unit
E_tot: -55.4 eV for the cell shown
DOS(E_F): 5.874 states/eV per cell
crystal system: trigonal

abc: 7.9765 7.9765 7.9765
angles: 26.94 26.94 26.94
Fractional positions:
U 0.0000 0.0000 0.0000
Be 0.2343 0.2343 0.2343
Be 0.7657 0.7657 0.7657
Co 0.1315 0.1315 0.1315
Co 0.3990 0.3990 0.3990
Co 0.6010 0.6010 0.6010
Co 0.8685 0.8685 0.8685
Si 0.5000 0.5000 0.5000

***

No. 2
The following is a GGA-PBE calculation of a relaxed U2BeCo4Si3 crystal, from Alexandria via LeMat-Bulk.

Summary:
E_form (uncorrected): -5.1 eV per formula unit
E_tot: -76.1 eV for the cell shown
DOS(E_F): 5.926 states/eV per cell
crystal system: tetragonal

abc: 3.7745 3.7745 9.7120
angles: 90.00 90.00 90.00
Fractional positions:
U 0.0000 0.5000 0.2383
U 0.5000 0.0000 0.7617
Be 0.5000 0.5000 0.0000
Co 0.0000 0.0000 0.5000
Co 0.0000 0.5000 0.8622
Co 0.5000 0.0000 0.1378
Co 0.5000 0.5000 0.5000
Si 0.0000 0.0000 0.0000
Si 0.0000 0.5000 0.6282
Si 0.5000 0.0000 0.3718

***

No. 3
The following is a GGA-PBE calculation of a relaxed U2BeCo3Si4 crystal, from Alexandria via LeMat-Bulk.

Summary:
E_form (uncorrected): -5.3 eV per formula unit
E_tot: -74.6 eV for the cell shown
DOS(E_F): 10.857 states/eV per cell
crystal system: tetragonal

abc: 3.8897 3.8897 9.4123
angles: 90.00 90.00 90.00
Fractional positions:
U 0.0000 0.5000 0.2480
U 0.5000 0.0000 0.7520
Be 0.5000 0.5000 0.0000
Co 0.0000 0.0000 0.0000
Co 0.0000 0.5000 0.6316
Co 0.5000 0.0000 0.3684
Si 0.0000 0.0000 0.5000
Si 0.0000 0.5000 0.8705
Si 0.5000 0.0000 0.1295
Si 0.5000 0.5000 0.5000

***

No. 4
The following is a GGA-PBE calculation of a relaxed BeVCo4Si2 crystal, from Alexandria via LeMat-Bulk.

Summary:
E_form (uncorrected): -3.9 eV per formula unit
E_tot: -56.0 eV for the cell shown
DOS(E_F): 4.296 states/eV per cell
crystal system: trigonal

abc: 6.7907 6.7907 6.7907
angles: 33.42 33.42 33.42
Fractional positions:
Be 0.0000 0.0000 0.0000
V 0.5000 0.5000 0.5000
Co 0.1233 0.1233 0.1233
Co 0.3736 0.3736 0.3736
Co 0.6264 0.6264 0.6264
Co 0.8767 0.8767 0.8767
Si 0.2524 0.2524 0.2524
Si 0.7476 0.7476 0.7476

***

No. 5
The following is a GGA-PBE calculation of a relaxed Be2Co5SiW2 crystal, from Alexandria via LeMat-Bulk.

Summary:
E_form (uncorrected): -2.3 eV per formula unit
E_tot: -153.2 eV for the cell shown
DOS(E_F): 15.970 states/eV per cell
crystal system: tetragonal

abc: 8.8943 8.8943 2.7297
angles: 90.00 90.00 90.00
Fractional positions:
Be 0.1250 0.3750 0.0000
Be 0.3750 0.8750 0.0000
Be 0.6250 0.1250 0.0000
Be 0.8750 0.6250 0.0000
Co 0.0000 0.5000 0.5000
Co 0.0534 0.2026 0.5000
Co 0.2026 0.9466 0.5000
Co 0.2974 0.4466 0.5000
Co 0.4466 0.7026 0.5000
Co 0.5000 0.0000 0.5000
Co 0.5534 0.2974 0.5000
Co 0.7026 0.5534 0.5000
Co 0.7974 0.0534 0.5000
Co 0.9466 0.7974 0.5000
Si 0.0000 0.0000 0.0000
Si 0.5000 0.5000 0.0000
W 0.1788 0.6788 0.0000
W 0.3212 0.1788 0.0000
W 0.6788 0.8212 0.0000
W 0.8212 0.3212 0.0000

***

No. 6
The following is a GGA-PBE calculation of a relaxed Y2BeCo5Si2 crystal, from Alexandria via LeMat-Bulk.

Summary:
E_form (uncorrected): -2.9 eV per formula unit
E_tot: -131.8 eV for the cell shown
DOS(E_F): 5.609 states/eV per cell
crystal system: tetragonal

abc: 9.3739 9.3739 3.1654
angles: 90.00 90.00 90.00
Fractional positions:
Y 0.1754 0.3246 0.0000
Y 0.3246 0.8246 0.0000
Y 0.6754 0.1754 0.0000
Y 0.8246 0.6754 0.0000
Be 0.0000 0.0000 0.0000
Be 0.5000 0.5000 0.0000
Co 0.0000 0.5000 0.5000
Co 0.0628 0.7943 0.5000
Co 0.2057 0.0628 0.5000
Co 0.2943 0.5628 0.5000
Co 0.4372 0.2943 0.5000
Co 0.5000 0.0000 0.5000
Co 0.5628 0.7057 0.5000
Co 0.7057 0.4372 0.5000
Co 0.7943 0.9372 0.5000
Co 0.9372 0.2057 0.5000
Si 0.1234 0.6234 0.0000
Si 0.3766 0.1234 0.0000
Si 0.6234 0.8766 0.0000
Si 0.8766 0.3766 0.0000

***

No. 7
The following is a GGA-PBE calculation of a relaxed YBeCoSi2 crystal, from Alexandria via LeMat-Bulk.

Summary:
E_form (uncorrected): -3.2 eV per formula unit
E_tot: -62.7 eV for the cell shown
DOS(E_F): 7.556 states/eV per cell
crystal system: tetragonal

abc: 3.8489 3.8489 9.8500
angles: 90.00 90.00 90.00
Fractional positions:
Y 0.0000 0.0000 0.0000
Y 0.5000 0.5000 0.5000
Be 0.0000 0.5000 0.7500
Be 0.5000 0.0000 0.2500
Co 0.0000 0.5000 0.2500
Co 0.5000 0.0000 0.7500
Si 0.0000 0.0000 0.3757
Si 0.0000 0.0000 0.6243
Si 0.5000 0.5000 0.1243
Si 0.5000 0.5000 0.8757

***

No. 8
The following is a GGA-PBE calculation of a relaxed YBeCo4Si2 crystal, from Alexandria via LeMat-Bulk.

Summary:
E_form (uncorrected): -4.1 eV per formula unit
E_tot: -53.6 eV for the cell shown
DOS(E_F): 5.079 states/eV per cell
crystal system: trigonal

abc: 8.1889 8.1889 8.1889
angles: 27.15 27.15 27.15
Fractional positions:
Y 0.0000 0.0000 0.0000
Be 0.5000 0.5000 0.5000
Co 0.1340 0.1340 0.1340
Co 0.4098 0.4098 0.4098
Co 0.5902 0.5902 0.5902
Co 0.8660 0.8660 0.8660
Si 0.2341 0.2341 0.2341
Si 0.7659 0.7659 0.7659

***

No. 9
The following is a GGA-PBE calculation of a relaxed YBeCoSi2 crystal, from Alexandria via LeMat-Bulk.

Summary:
E_form (uncorrected): -0.9 eV per formula unit
E_tot: -29.1 eV for the cell shown
DOS(E_F): 2.414 states/eV per cell
crystal system: tetragonal

abc: 4.3692 4.3692 4.1533
angles: 90.00 90.00 90.00
Fractional positions:
Y 0.0000 0.0000 0.0000
Be 0.5000 0.5000 0.0000
Co 0.5000 0.5000 0.5000
Si 0.0000 0.5000 0.5000
Si 0.5000 0.0000 0.5000

***

No. 10
The following is a GGA-PBE calculation of a relaxed Zr2Be2Co5Si crystal, from Alexandria via LeMat-Bulk.

Summary:
E_form (uncorrected): -4.6 eV per formula unit
E_tot: -140.1 eV for the cell shown
DOS(E_F): 8.006 states/eV per cell
crystal system: tetragonal

abc: 8.7315 8.7315 3.1244
angles: 90.00 90.00 90.00
Fractional positions:
Zr 0.1772 0.3228 0.0000
Zr 0.3228 0.8228 0.0000
Zr 0.6772 0.1772 0.0000
Zr 0.8228 0.6772 0.0000
Be 0.1183 0.6183 0.0000
Be 0.3817 0.1183 0.0000
Be 0.6183 0.8817 0.0000
Be 0.8817 0.3817 0.0000
Co 0.0000 0.5000 0.5000
Co 0.0652 0.7905 0.5000
Co 0.2095 0.0652 0.5000
Co 0.2905 0.5652 0.5000
Co 0.4348 0.2905 0.5000
Co 0.5000 0.0000 0.5000
Co 0.5652 0.7095 0.5000
Co 0.7095 0.4348 0.5000
Co 0.7905 0.9348 0.5000
Co 0.9348 0.2095 0.5000
Si 0.0000 0.0000 0.0000
Si 0.5000 0.5000 0.0000

***

No. 11
The following is a GGA-PBE calculation of a relaxed ZrBeCo4Si2 crystal, from Alexandria via LeMat-Bulk.

Summary:
E_form (uncorrected): -4.4 eV per formula unit
E_tot: -56.0 eV for the cell shown
DOS(E_F): 4.240 states/eV per cell
crystal system: trigonal

abc: 7.7729 7.7729 7.7729
angles: 28.49 28.49 28.49
Fractional positions:
Zr 0.0000 0.0000 0.0000
Be 0.5000 0.5000 0.5000
Co 0.1331 0.1331 0.1331
Co 0.4032 0.4032 0.4032
Co 0.5968 0.5968 0.5968
Co 0.8669 0.8669 0.8669
Si 0.2391 0.2391 0.2391
Si 0.7609 0.7609 0.7609

***

No. 12
The following is a GGA-PBE calculation of a relaxed SmBeCo crystal, from Alexandria via LeMat-Bulk.

Summary:
E_tot: -31.8 eV for the cell shown
ΔE_f: -114 meV per atom
DOS(E_F): 3.767 states/eV per cell
crystal system: tetragonal

abc: 3.7626 3.7626 7.1401
angles: 90.00 90.00 90.00
Fractional positions:
Sm 0.2500 0.2500 0.1831
Sm 0.7500 0.7500 0.8169
Be 0.2500 0.7500 0.5000
Be 0.7500 0.2500 0.5000
Co 0.2500 0.2500 0.6732
Co 0.7500 0.7500 0.3268